A relaxed KHgCl4 crystal. Source: the Alexandria database, functional GGA-PBE.

The calculation puts the mass density at 3.70 g/cm³. As for the energy above the most stable polymorph in this dataset: 0.621 eV/atom. As for the uncorrected formation energy: -0.234 eV/atom. The value obtained for the total DFT energy (no corrections) is -40.8 eV per cell. The total magnetization is 12.44 μB/cell.

The structure belongs to space group F-43m (No. 216); the cell edges are 8.818, 8.818 and 8.818 Å and the angles 90.00°, 90.00° and 90.00°. Symmetry generates all atoms from K at (0.000, 0.000, 0.000), Hg at (0.250, 0.250, 0.250) and Cl at (0.125, 0.125, 0.625).